! InHg2Pb (SCAN, single point on PBEsol structure); values from VASP
&SYSTEM
  ibrav = 0, nat = 4, ntyp = 3
/
ATOMIC_SPECIES
In 114.82 In.upf
Hg 200.59 Hg.upf
Pb 207.20 Pb.upf
CELL_PARAMETERS angstrom
-0.760 0.841 3.599
-4.892 0.861 -1.234
-1.128 -5.054 0.944
ATOMIC_POSITIONS crystal
In 0.500 0.500 0.000
Hg 0.500 0.000 0.500
Hg 0.000 0.000 0.000
Pb 0.000 0.500 0.500
! Electronic total energy = -61.326 eV per atom
! Space-group type = No. 47
! Calculated volume = 25.4 A^3/atom
! Formation energy from the elements = 0.20 eV per formula unit

***

! InHg2Pb (SCAN, single point on PBEsol structure); values from VASP
&SYSTEM
  ibrav = 0, nat = 4, ntyp = 3
/
ATOMIC_SPECIES
Hg 200.59 Hg.upf
In 114.82 In.upf
Pb 207.20 Pb.upf
CELL_PARAMETERS angstrom
3.662 0.000 0.000
0.000 3.662 0.000
0.000 0.000 7.503
ATOMIC_POSITIONS crystal
Hg 0.000 0.000 0.019
In 0.000 0.000 0.475
Pb 0.500 0.500 0.758
Hg 0.500 0.500 0.248
! Electronic total energy = -61.321 eV per atom
! Space-group type = No. 99
! Calculated volume = 25.1 A^3/atom
! Formation energy from the elements = 0.22 eV per formula unit

***

! InHg2Pb (SCAN, single point on PBEsol structure); values from VASP
&SYSTEM
  ibrav = 0, nat = 4, ntyp = 3
/
ATOMIC_SPECIES
In 114.82 In.upf
Pb 207.20 Pb.upf
Hg 200.59 Hg.upf
CELL_PARAMETERS angstrom
5.226 0.000 0.000
2.613 4.526 0.000
2.613 1.509 4.267
ATOMIC_POSITIONS crystal
In 0.500 0.500 0.500
Pb 0.250 0.250 0.250
Hg 0.750 0.750 0.750
Hg 0.000 0.000 0.000
! Electronic total energy = -61.300 eV per atom
! Space-group type = No. 216
! Calculated volume = 25.2 A^3/atom
! Formation energy from the elements = 0.30 eV per formula unit

***

! In2HgPb (SCAN, single point on PBEsol structure); values from VASP
&SYSTEM
  ibrav = 0, nat = 4, ntyp = 3
/
ATOMIC_SPECIES
Hg 200.59 Hg.upf
In 114.82 In.upf
Pb 207.20 Pb.upf
CELL_PARAMETERS angstrom
4.819 0.000 0.000
0.000 4.819 0.000
-2.410 -2.410 4.433
ATOMIC_POSITIONS crystal
Hg 0.000 0.000 0.000
In 0.750 0.250 0.500
In 0.250 0.750 0.500
Pb 0.500 0.500 0.000
! Electronic total energy = -52.619 eV per atom
! Space-group type = No. 139
! Calculated volume = 25.7 A^3/atom
! Formation energy from the elements = 0.24 eV per formula unit